(1)
{
  "formula": "Ac2PmPr2Ho",
  "functional": "PBE-GGA",
  "state": "relaxed",
  "lattice": [[7.377, 0.000, 0.000], [0.000, 5.956, 0.000], [0.000, 0.000, 10.279]],
  "species": ["Ac", "Ac", "Ac", "Ac", "Pm", "Pm", "Pr", "Pr", "Pr", "Pr", "Ho", "Ho"],
  "fractional_positions": [[0.000, 0.000, 0.000], [0.250, 0.500, 0.175], [0.500, 0.000, 0.000], [0.750, 0.500, 0.825], [0.000, 0.500, 0.500], [0.500, 0.500, 0.500], [0.250, 0.000, 0.344], [0.250, 0.500, 0.827], [0.750, 0.000, 0.656], [0.750, 0.500, 0.173], [0.250, 0.000, 0.663], [0.750, 0.000, 0.337]],
  "crystal_system": "orthorhombic",
  "formation_energy_ev_per_atom": 0.078,
  "total_energy_ev_per_atom": -4.439,
  "m_tot_mub_per_cell": 0.00
}

(2)
{
  "formula": "KMg2In",
  "functional": "PBE-GGA",
  "state": "relaxed",
  "lattice": [[3.415, 0.000, 0.000], [0.000, 5.980, 0.000], [0.000, 0.000, 12.004]],
  "species": ["K", "K", "Mg", "Mg", "Mg", "Mg", "In", "In"],
  "fractional_positions": [[0.000, 0.000, 0.000], [0.500, 0.500, 0.500], [0.000, 0.500, 0.214], [0.000, 0.500, 0.786], [0.500, 0.000, 0.286], [0.500, 0.000, 0.714], [0.000, 0.000, 0.500], [0.500, 0.500, 0.000]],
  "crystal_system": "orthorhombic",
  "formation_energy_ev_per_atom": 0.121,
  "total_energy_ev_per_atom": -1.635,
  "m_tot_mub_per_cell": 0.00
}

(3)
{
  "formula": "Cs2PrUSe6",
  "functional": "PBE-GGA",
  "state": "relaxed",
  "lattice": [[7.958, 0.000, 0.000], [0.000, 11.251, 0.000], [0.000, 0.000, 7.955]],
  "species": ["Cs", "Cs", "Cs", "Cs", "Pr", "Pr", "U", "U", "Se", "Se", "Se", "Se", "Se", "Se", "Se", "Se", "Se", "Se", "Se", "Se"],
  "fractional_positions": [[0.250, 0.000, 0.250], [0.250, 0.500, 0.250], [0.750, 0.000, 0.750], [0.750, 0.500, 0.750], [0.250, 0.250, 0.750], [0.750, 0.750, 0.250], [0.250, 0.750, 0.750], [0.750, 0.250, 0.250], [0.012, 0.750, 0.511], [0.012, 0.750, 0.988], [0.250, 0.512, 0.750], [0.250, 0.988, 0.750], [0.488, 0.750, 0.511], [0.488, 0.750, 0.988], [0.512, 0.250, 0.012], [0.512, 0.250, 0.489], [0.750, 0.012, 0.250], [0.750, 0.488, 0.250], [0.988, 0.250, 0.012], [0.988, 0.250, 0.489]],
  "crystal_system": "orthorhombic",
  "total_energy_ev_per_atom": -5.117,
  "m_tot_mub_per_cell": 0.00
}

(4)
{
  "formula": "CaGdGaAu",
  "functional": "PBE-GGA",
  "state": "relaxed",
  "lattice": [[7.281, 0.000, 0.000], [0.000, 7.281, 0.000], [0.000, 0.000, 7.281]],
  "species": ["Ca", "Ca", "Ca", "Ca", "Gd", "Gd", "Gd", "Gd", "Ga", "Ga", "Ga", "Ga", "Au", "Au", "Au", "Au"],
  "fractional_positions": [[0.000, 0.000, 0.000], [0.000, 0.500, 0.500], [0.500, 0.000, 0.500], [0.500, 0.500, 0.000], [0.000, 0.000, 0.500], [0.000, 0.500, 0.000], [0.500, 0.000, 0.000], [0.500, 0.500, 0.500], [0.250, 0.250, 0.250], [0.250, 0.750, 0.750], [0.750, 0.250, 0.750], [0.750, 0.750, 0.250], [0.250, 0.250, 0.750], [0.250, 0.750, 0.250], [0.750, 0.250, 0.250], [0.750, 0.750, 0.750]],
  "crystal_system": "cubic",
  "formation_energy_ev_per_atom": -0.653,
  "total_energy_ev_per_atom": -6.250,
  "m_tot_mub_per_cell": 28.94
}

(5)
{
  "formula": "NaMg2Hg2",
  "functional": "PBE-GGA",
  "state": "relaxed",
  "lattice": [[4.450, 0.000, 0.000], [0.000, 4.450, 0.000], [0.000, 0.000, 13.096]],
  "species": ["Na", "Na", "Mg", "Mg", "Mg", "Mg", "Hg", "Hg", "Hg", "Hg"],
  "fractional_positions": [[0.000, 0.000, 0.000], [0.500, 0.500, 0.500], [0.000, 0.500, 0.250], [0.000, 0.500, 0.750], [0.500, 0.000, 0.250], [0.500, 0.000, 0.750], [0.000, 0.000, 0.391], [0.000, 0.000, 0.609], [0.500, 0.500, 0.109], [0.500, 0.500, 0.891]],
  "relative_energy_mev_per_atom": 51,
  "crystal_system": "tetragonal",
  "formation_energy_ev_per_atom": -0.151,
  "total_energy_ev_per_atom": -1.173,
  "m_tot_mub_per_cell": 0.00
}

(6)
{
  "formula": "PuAgTe2",
  "functional": "PBE-GGA",
  "state": "relaxed",
  "lattice": [[4.503, 0.000, 0.000], [-2.252, 3.900, 0.000], [0.000, 0.000, 20.138]],
  "species": ["Pu", "Pu", "Pu", "Ag", "Ag", "Ag", "Te", "Te", "Te", "Te", "Te", "Te"],
  "fractional_positions": [[0.000, 0.000, 0.000], [0.333, 0.667, 0.667], [0.667, 0.333, 0.333], [0.000, 0.000, 0.500], [0.333, 0.667, 0.167], [0.667, 0.333, 0.833], [0.000, 0.000, 0.248], [0.000, 0.000, 0.752], [0.333, 0.667, 0.419], [0.333, 0.667, 0.914], [0.667, 0.333, 0.086], [0.667, 0.333, 0.581]],
  "crystal_system": "trigonal",
  "total_energy_ev_per_atom": -6.459,
  "m_tot_mub_per_cell": 15.00
}

(7)
{
  "formula": "AlRe4Au",
  "functional": "PBE-GGA",
  "state": "relaxed",
  "lattice": [[0.000, 3.679, 3.679], [3.679, 0.000, 3.679], [3.679, 3.679, 0.000]],
  "species": ["Al", "Re", "Re", "Re", "Re", "Au"],
  "fractional_positions": [[0.000, 0.000, 0.000], [0.375, 0.375, 0.375], [0.375, 0.375, 0.874], [0.375, 0.874, 0.375], [0.874, 0.375, 0.375], [0.750, 0.750, 0.750]],
  "crystal_system": "cubic",
  "formation_energy_ev_per_atom": 0.536,
  "total_energy_ev_per_atom": -8.932,
  "m_tot_mub_per_cell": 0.00
}

(8)
{
  "formula": "Ni4RhAu",
  "functional": "PBE-GGA",
  "state": "relaxed",
  "lattice": [[0.000, 3.363, 3.363], [3.363, 0.000, 3.363], [3.363, 3.363, 0.000]],
  "species": ["Ni", "Ni", "Ni", "Ni", "Rh", "Au"],
  "fractional_positions": [[0.125, 0.125, 0.125], [0.125, 0.125, 0.626], [0.125, 0.626, 0.125], [0.626, 0.125, 0.125], [0.750, 0.750, 0.750], [0.500, 0.500, 0.500]],
  "crystal_system": "cubic",
  "formation_energy_ev_per_atom": 0.115,
  "total_energy_ev_per_atom": -5.510,
  "m_tot_mub_per_cell": 3.15
}

(9)
{
  "formula": "La8TmTl2",
  "functional": "PBE-GGA",
  "state": "relaxed",
  "lattice": [[-2.643, 4.525, 8.005], [2.643, -4.525, 8.005], [2.643, 4.525, -8.005]],
  "species": ["La", "La", "La", "La", "La", "La", "La", "La", "Tm", "Tl", "Tl"],
  "fractional_positions": [[0.117, 0.340, 0.777], [0.145, 0.145, 0.000], [0.325, 0.000, 0.325], [0.438, 0.660, 0.777], [0.562, 0.340, 0.223], [0.675, 0.000, 0.675], [0.855, 0.855, 0.000], [0.883, 0.660, 0.223], [0.000, 0.500, 0.500], [0.306, 0.806, 0.500], [0.694, 0.194, 0.500]],
  "relative_energy_mev_per_atom": 0,
  "crystal_system": "orthorhombic",
  "formation_energy_ev_per_atom": -0.099,
  "total_energy_ev_per_atom": -4.519,
  "m_tot_mub_per_cell": 0.00
}

(10)
{
  "formula": "Zn2Cu5Au",
  "functional": "PBE-GGA",
  "state": "relaxed",
  "lattice": [[2.711, 0.000, 0.000], [0.000, 8.113, 0.000], [0.000, 0.000, 9.760]],
  "species": ["Zn", "Zn", "Zn", "Zn", "Cu", "Cu", "Cu", "Cu", "Cu", "Cu", "Cu", "Cu", "Cu", "Cu", "Au", "Au"],
  "fractional_positions": [[0.000, 0.000, 0.247], [0.000, 0.000, 0.753], [0.500, 0.500, 0.253], [0.500, 0.500, 0.747], [0.000, 0.000, 0.500], [0.000, 0.274, 0.130], [0.000, 0.274, 0.870], [0.000, 0.726, 0.130], [0.000, 0.726, 0.870], [0.500, 0.226, 0.370], [0.500, 0.226, 0.630], [0.500, 0.500, 0.000], [0.500, 0.774, 0.370], [0.500, 0.774, 0.630], [0.000, 0.500, 0.500], [0.500, 0.000, 0.000]],
  "relative_energy_mev_per_atom": 57,
  "crystal_system": "orthorhombic",
  "formation_energy_ev_per_atom": -0.031,
  "total_energy_ev_per_atom": -3.320,
  "m_tot_mub_per_cell": 0.00
}

(11)
{
  "formula": "Tl2ZnPd2",
  "functional": "PBE-GGA",
  "state": "relaxed",
  "lattice": [[7.774, 0.000, 0.000], [0.000, 7.774, 0.000], [0.000, 0.000, 3.360]],
  "species": ["Tl", "Tl", "Tl", "Tl", "Zn", "Zn", "Pd", "Pd", "Pd", "Pd"],
  "fractional_positions": [[0.161, 0.339, 0.000], [0.339, 0.839, 0.000], [0.661, 0.161, 0.000], [0.839, 0.661, 0.000], [0.000, 0.000, 0.000], [0.500, 0.500, 0.000], [0.136, 0.636, 0.500], [0.364, 0.136, 0.500], [0.636, 0.864, 0.500], [0.864, 0.364, 0.500]],
  "relative_energy_mev_per_atom": 187,
  "crystal_system": "tetragonal",
  "formation_energy_ev_per_atom": 0.051,
  "total_energy_ev_per_atom": -3.228,
  "m_tot_mub_per_cell": 0.00
}

(12)
{
  "formula": "NaYSbTe2",
  "functional": "PBE-GGA",
  "state": "relaxed",
  "lattice": [[5.513, 0.000, 0.000], [0.000, 5.513, 0.000], [0.000, 0.000, 5.200]],
  "species": ["Na", "Y", "Sb", "Te", "Te"],
  "fractional_positions": [[0.000, 0.000, 0.000], [0.500, 0.500, 0.500], [0.000, 0.000, 0.500], [0.000, 0.500, 0.000], [0.500, 0.000, 0.000]],
  "relative_energy_mev_per_atom": 493,
  "crystal_system": "tetragonal",
  "total_energy_ev_per_atom": -3.521,
  "m_tot_mub_per_cell": 0.00
}